No. 1
# GGA-PBE Ac6NiIrAu2, optimized geometry
# E_tot	-5.089	eV/atom
# formation energy from the elements	-503.9	meV per atom
data_Ac6NiIrAu2
_space_group_name_H-M_alt 'P 1'
_space_group_IT_number 1
_cell_length_a 7.8090
_cell_length_b 7.8095
_cell_length_c 8.2354
_cell_angle_alpha 61.67
_cell_angle_beta 61.68
_cell_angle_gamma 60.01
loop_
_space_group_symop_operation_xyz
'x,y,z'
loop_
_atom_site_label
_atom_site_type_symbol
_atom_site_fract_x
_atom_site_fract_y
_atom_site_fract_z
Ac1 Ac 0.5884 0.2026 0.2614
Ac2 Ac 0.2029 0.9476 0.2614
Ac3 Ac 0.9478 0.5880 0.2616
Ac4 Ac 0.4505 0.7029 0.7606
Ac5 Ac 0.7027 0.0858 0.7607
Ac6 Ac 0.0856 0.4509 0.7609
Ni1 Ni 0.3255 0.3256 0.0236
Ir1 Ir 0.8253 0.8253 0.5242
Au1 Au 0.5164 0.5161 0.4509
Au2 Au 0.0165 0.0167 0.9499


No. 2
# GGA-PBE PuZn4Pt2, optimized geometry
# E_tot	-4.900	eV/atom
# formation energy from the elements	-399.0	meV per atom
data_PuZn4Pt2
_space_group_name_H-M_alt 'P 1'
_space_group_IT_number 1
_cell_length_a 2.9407
_cell_length_b 9.0473
_cell_length_c 9.0473
_cell_angle_alpha 90.00
_cell_angle_beta 90.00
_cell_angle_gamma 90.00
loop_
_space_group_symop_operation_xyz
'x,y,z'
loop_
_atom_site_label
_atom_site_type_symbol
_atom_site_fract_x
_atom_site_fract_y
_atom_site_fract_z
Pu1 Pu 0.5000 0.0000 0.0000
Pu2 Pu 0.0000 0.5000 0.5000
Zn1 Zn 0.0000 0.0516 0.3251
Zn2 Zn 0.0000 0.9484 0.6749
Zn3 Zn 0.5000 0.1749 0.5516
Zn4 Zn 0.5000 0.8251 0.4484
Zn5 Zn 0.5000 0.4484 0.8251
Zn6 Zn 0.5000 0.5516 0.1749
Zn7 Zn 0.0000 0.3251 0.0516
Zn8 Zn 0.0000 0.6749 0.9484
Pt1 Pt 0.0000 0.2139 0.7861
Pt2 Pt 0.0000 0.7861 0.2139
Pt3 Pt 0.5000 0.7139 0.7139
Pt4 Pt 0.5000 0.2861 0.2861


No. 3
# GGA-PBE YAg2Te, optimized geometry
# E_tot	-4.195	eV/atom
# uncorrected formation energy	-0.368	eV per atom
data_YAg2Te
_space_group_name_H-M_alt 'P 1'
_space_group_IT_number 1
_cell_length_a 5.8968
_cell_length_b 5.8968
_cell_length_c 5.8968
_cell_angle_alpha 137.24
_cell_angle_beta 137.24
_cell_angle_gamma 62.07
loop_
_space_group_symop_operation_xyz
'x,y,z'
loop_
_atom_site_label
_atom_site_type_symbol
_atom_site_fract_x
_atom_site_fract_y
_atom_site_fract_z
Ag1 Ag 0.0000 0.0000 0.0000
Ag2 Ag 0.5000 0.5000 0.0000
Te1 Te 0.2500 0.7500 0.5000
Y1 Y 0.7500 0.2500 0.5000


No. 4
# GGA-PBE BiSb2Se, optimized geometry
# E_tot	-3.930	eV/atom
# ΔE to the lowest computed polymorph	26	meV/atom
# uncorrected formation energy	-0.027	eV per atom
data_BiSb2Se
_space_group_name_H-M_alt 'P 1'
_space_group_IT_number 1
_cell_length_a 6.2557
_cell_length_b 6.3118
_cell_length_c 7.1340
_cell_angle_alpha 91.06
_cell_angle_beta 101.83
_cell_angle_gamma 96.06
loop_
_space_group_symop_operation_xyz
'x,y,z'
loop_
_atom_site_label
_atom_site_type_symbol
_atom_site_fract_x
_atom_site_fract_y
_atom_site_fract_z
Bi1 Bi 0.2634 0.7461 0.0915
Bi2 Bi 0.2245 0.8298 0.5151
Sb1 Sb 0.2630 0.3208 0.5978
Sb2 Sb 0.7739 0.6374 0.9686
Sb3 Sb 0.2910 0.2491 0.0083
Sb4 Sb 0.7486 0.4044 0.6106
Se1 Se 0.7202 0.2617 0.1210
Se2 Se 0.7686 0.7845 0.4611


No. 5
# GGA-PBE Na10B17C3, optimized geometry
# E_tot	-4.941	eV/atom
# ΔE to the lowest computed polymorph	0	meV/atom
# formation energy from the elements	204.9	meV per atom
data_Na10B17C3
_space_group_name_H-M_alt 'P 1'
_space_group_IT_number 1
_cell_length_a 11.8455
_cell_length_b 11.8455
_cell_length_c 10.2168
_cell_angle_alpha 105.55
_cell_angle_beta 105.55
_cell_angle_gamma 13.73
loop_
_space_group_symop_operation_xyz
'x,y,z'
loop_
_atom_site_label
_atom_site_type_symbol
_atom_site_fract_x
_atom_site_fract_y
_atom_site_fract_z
Na1 Na 0.3982 0.3982 0.7986
Na2 Na 0.4999 0.4999 0.5006
Na3 Na 0.2017 0.2017 0.4003
Na4 Na 0.2997 0.2997 0.0985
Na5 Na 0.9992 0.9992 0.9992
Na6 Na 0.1005 0.1005 0.7020
Na7 Na 0.7992 0.7992 0.6005
Na8 Na 0.8995 0.8995 0.2976
Na9 Na 0.6015 0.6015 0.2014
Na10 Na 0.7006 0.7006 0.9013
B1 B 0.9149 0.9149 0.5817
B2 B 0.0861 0.0861 0.4219
B3 B 0.0232 0.0232 0.2966
B4 B 0.9772 0.9772 0.7054
B5 B 0.7227 0.7227 0.1945
B6 B 0.8754 0.8754 0.0015
B7 B 0.8087 0.8087 0.8670
B8 B 0.7876 0.7876 0.3262
B9 B 0.5186 0.5186 0.7872
B10 B 0.6278 0.6278 0.5048
B11 B 0.5812 0.5812 0.9113
B12 B 0.4798 0.4798 0.2099
B13 B 0.4159 0.4159 0.0830
B14 B 0.3753 0.3753 0.5026
B15 B 0.1211 0.1211 0.9906
B16 B 0.2175 0.2175 0.6839
B17 B 0.1850 0.1850 0.1183
C1 C 0.6867 0.6867 0.6218
C2 C 0.3167 0.3167 0.3859
C3 C 0.2784 0.2784 0.8058


No. 6
# GGA-PBE P2SeSI, optimized geometry
# E_tot	-2.990	eV/atom
# ΔE to the lowest computed polymorph	0	meV/atom
# uncorrected formation energy	1.006	eV per atom
data_P2SeSI
_space_group_name_H-M_alt 'P 1'
_space_group_IT_number 1
_cell_length_a 4.9774
_cell_length_b 4.9774
_cell_length_c 4.7155
_cell_angle_alpha 90.00
_cell_angle_beta 90.00
_cell_angle_gamma 90.00
loop_
_space_group_symop_operation_xyz
'x,y,z'
loop_
_atom_site_label
_atom_site_type_symbol
_atom_site_fract_x
_atom_site_fract_y
_atom_site_fract_z
I1 I 0.5000 0.5000 0.5000
P1 P 0.0000 0.5000 0.0000
P2 P 0.5000 0.0000 0.0000
S1 S 0.0000 0.0000 0.5000
Se1 Se 0.0000 0.0000 0.0000